No. 1
Here is an optimized crystal structure of Nb2GaCl8 from Alexandria via LeMat-Bulk. Energies are from PBE.

Summary:
- Theoretical density: 2.874 Mg/m³
- ΔE_f (raw): -1072 meV/atom
- DOS at the Fermi energy: 5.5 states/eV per cell

Cell: 13.179 6.656 7.132 Å, 90.00 95.22 90.00°
Space group C2/m (No. 12)
Symmetry-distinct sites (fractional):
Nb (0.249, 0.000, 0.003) [4 per cell]
Ga (0.000, 0.500, 0.500) [2 per cell]
Cl (0.123, 0.256, 0.851) [8 per cell]
Cl (0.154, 0.000, 0.264) [4 per cell]
Cl (0.174, 0.500, 0.288) [4 per cell]

***

No. 2
Here is an optimized crystal structure of Nb2GaCl2 from Alexandria via LeMat-Bulk. Energies are from PBE.

Summary:
- Energy relative to the lowest polymorph listed for this composition: 181 meV per atom
- Theoretical density: 6.203 Mg/m³
- ΔE_f (raw): 192 meV/atom
- DOS at the Fermi energy: 8.2 states/eV per cell

Cell: 7.674 7.674 2.968 Å, 90.00 90.00 90.00°
Space group P4/mbm (No. 127)
Symmetry-distinct sites (fractional):
Nb (0.179, 0.321, 0.000) [4 per cell]
Ga (0.000, 0.000, 0.000) [2 per cell]
Cl (0.130, 0.630, 0.500) [4 per cell]

***

No. 3
Here is an optimized crystal structure of Nb2GaCl6 from Alexandria via LeMat-Bulk. Energies are from PBE.

Summary:
- Theoretical density: 3.498 Mg/m³
- ΔE_f (raw): -932 meV/atom
- DOS at the Fermi energy: 6.2 states/eV per cell

Cell: 14.240 3.445 9.237 Å, 90.00 101.15 90.00°
Space group C2/m (No. 12)
Symmetry-distinct sites (fractional):
Nb (0.225, 0.000, 0.111) [4 per cell]
Ga (0.000, 0.000, 0.500) [2 per cell]
Cl (0.098, 0.000, 0.260) [4 per cell]
Cl (0.116, 0.500, 0.967) [4 per cell]
Cl (0.171, 0.500, 0.650) [4 per cell]

***

No. 4
Here is an optimized crystal structure of NbGa2OsCl from Alexandria via LeMat-Bulk. Energies are from PBE.

Summary:
- Theoretical density: 7.917 Mg/m³
- ΔE_f (raw): 1300 meV/atom
- DOS at the Fermi energy: 5.8 states/eV per cell

Cell: 4.694 4.694 4.361 Å, 90.00 90.00 90.00°
Space group P4/mmm (No. 123)
Symmetry-distinct sites (fractional):
Nb (0.000, 0.000, 0.000) [1 per cell]
Ga (0.000, 0.500, 0.500) [2 per cell]
Os (0.500, 0.500, 0.000) [1 per cell]
Cl (0.500, 0.500, 0.500) [1 per cell]

***

No. 5
Here is an optimized crystal structure of NbGaPCl2 from Alexandria via LeMat-Bulk. Energies are from PBE.

Summary:
- Energy relative to the lowest polymorph listed for this composition: 792 meV per atom
- Theoretical density: 4.048 Mg/m³
- ΔE_f (raw): 465 meV/atom
- DOS at the Fermi energy: 4.8 states/eV per cell

Cell: 4.680 4.680 4.955 Å, 90.00 90.00 90.00°
Space group P4/mmm (No. 123)
Symmetry-distinct sites (fractional):
Nb (0.000, 0.000, 0.000) [1 per cell]
Ga (0.500, 0.500, 0.500) [1 per cell]
P (0.500, 0.500, 0.000) [1 per cell]
Cl (0.000, 0.500, 0.500) [2 per cell]

***

No. 6
Here is an optimized crystal structure of NbGaPCl2 from Alexandria via LeMat-Bulk. Energies are from PBE.

Summary:
- Energy relative to the lowest polymorph listed for this composition: 0 meV per atom
- Theoretical density: 3.629 Mg/m³
- ΔE_f (raw): -327 meV/atom
- DOS at the Fermi energy: 1.5 states/eV per cell

Cell: 4.969 4.969 4.902 Å, 90.00 90.00 90.00°
Space group P4/mmm (No. 123)
Symmetry-distinct sites (fractional):
Nb (0.000, 0.000, 0.000) [1 per cell]
Ga (0.500, 0.500, 0.500) [1 per cell]
P (0.000, 0.000, 0.500) [1 per cell]
Cl (0.000, 0.500, 0.000) [2 per cell]